A relaxed structure of Np3Hg3PdS8, computed with PBE.

The calculation puts the energy relative to the elements, uncorrected at -719 meV/atom.

It has space group C2/m (No. 12), with a = 13.854 Å, b = 7.412 Å, c = 10.330 Å, α = 90.00°, β = 116.97° and γ = 90.00°. The distinct sites, in fractional coordinates, are Np at (0.000, 0.000, 0.000), Np at (0.250, 0.250, 0.000), Hg at (0.000, 0.500, 0.500), Hg at (0.250, 0.250, 0.500), Pd at (0.000, 0.500, 0.000), S at (0.034, 0.272, 0.860), S at (0.214, 0.000, 0.156) and S at (0.224, 0.000, 0.816).

=====

A relaxed structure of NbGeIr2Os, computed with PBE.

It has space group P4/mmm (No. 123), with a = 4.772 Å, b = 4.772 Å, c = 4.818 Å, α = 90.00°, β = 90.00° and γ = 90.00°. The distinct sites, in fractional coordinates, are Nb at (0.000, 0.000, 0.000), Ge at (0.500, 0.500, 0.000), Ir at (0.000, 0.500, 0.500) and Os at (0.000, 0.000, 0.500).

=====

A relaxed structure of PaSi3Ni10, computed with PBE.

The calculation puts the energy relative to the elements, uncorrected at -398 meV/atom.

It has space group Fm-3m (No. 225), with a = 11.330 Å, b = 11.330 Å, c = 11.330 Å, α = 90.00°, β = 90.00° and γ = 90.00°. The distinct sites, in fractional coordinates, are Pa at (0.250, 0.250, 0.250), Si at (0.000, 0.000, 0.239), Ni at (0.000, 0.177, 0.323) and Ni at (0.117, 0.117, 0.117).

=====

A relaxed structure of In3SbPd6, computed with PBE.

The calculation puts the energy relative to the elements, uncorrected at -431 meV/atom.

It has space group Cmc2_1 (No. 36), with a = 7.904 Å, b = 13.508 Å, c = 6.948 Å, α = 90.00°, β = 90.00° and γ = 90.00°. The distinct sites, in fractional coordinates, are In at (0.000, 0.035, 0.000), In at (0.198, 0.391, 0.826), Sb at (0.000, 0.295, 0.300), Pd at (0.000, 0.235, 0.666), Pd at (0.000, 0.461, 0.508), Pd at (0.183, 0.212, 0.016) and Pd at (0.236, 0.079, 0.706).

=====

A relaxed structure of Tm2SiNi6, computed with PBE.

The energy above the most stable polymorph in this dataset comes out at 4.9 kJ/mol of atoms. The calculation puts the energy relative to the elements, uncorrected at -494 meV/atom.

It has space group Fm-3m (No. 225), with a = 8.022 Å, b = 8.022 Å, c = 8.022 Å, α = 90.00°, β = 90.00° and γ = 90.00°. The distinct sites, in fractional coordinates, are Tm at (0.250, 0.250, 0.250), Si at (0.000, 0.000, 0.000) and Ni at (0.000, 0.000, 0.279).

=====

A relaxed structure of NpGaIr, computed with PBE.

It has space group F-43m (No. 216), with a = 6.405 Å, b = 6.405 Å, c = 6.405 Å, α = 90.00°, β = 90.00° and γ = 90.00°. The distinct sites, in fractional coordinates, are Np at (0.000, 0.000, 0.000), Ga at (0.000, 0.000, 0.500) and Ir at (0.250, 0.250, 0.250).

=====

A relaxed structure of As2IrPt, computed with PBE.

The energy above the most stable polymorph in this dataset comes out at 36.2 kJ/mol of atoms.

It has space group C2/m (No. 12), with a = 5.688 Å, b = 9.242 Å, c = 2.879 Å, α = 90.00°, β = 120.18° and γ = 90.00°. The distinct sites, in fractional coordinates, are As at (0.250, 0.250, 0.000), Ir at (0.000, 0.000, 0.000) and Pt at (0.000, 0.500, 0.000).

=====

A relaxed structure of SrLi4Sc, computed with PBE.

It has space group F-43m (No. 216), with a = 8.512 Å, b = 8.512 Å, c = 8.512 Å, α = 90.00°, β = 90.00° and γ = 90.00°. The distinct sites, in fractional coordinates, are Sr at (0.000, 0.000, 0.000), Li at (0.122, 0.122, 0.622) and Sc at (0.250, 0.250, 0.250).

=====

A relaxed structure of KTb4ErS8, computed with PBE.

The calculation puts the energy relative to the elements, uncorrected at -1936 meV/atom.

It has space group R3m (No. 160, hexagonal axes), with a = 8.2512 Å, b = 8.2512 Å, c = 20.0562 Å, α = 90.00°, β = 90.00° and γ = 120.00°. The distinct sites, in fractional coordinates, are K at (0.0000, 0.0000, 0.0000), Tb at (0.0000, 0.0000, 0.2483), Tb at (0.1727, 0.3454, 0.4554), Er at (0.0000, 0.0000, 0.6280), S at (0.0000, 0.0000, 0.3811), S at (0.0000, 0.0000, 0.8576), S at (0.0459, 0.5229, 0.3779) and S at (0.1775, 0.3550, 0.2051).

=====

no.,calculated volume (Å³/atom),total energy (Ha/atom)
1,31.51,-0.2174
2,21.94,-0.2678
3,12.99,-0.2340
4,18.54,-0.1757
5,14.34,-0.2185
6,21.90,-0.3116
7,16.35,-0.2117
8,25.70,-0.0901
9,28.16,-0.2213